Entry 1:
# Tb2PmTm4Th, relaxed, DFT GGA-PBE
data_Tb2PmTm4Th
_cell_length_a 5.0385
_cell_length_b 5.0511
_cell_length_c 9.8573
_cell_angle_alpha 90.00
_cell_angle_beta 90.04
_cell_angle_gamma 90.00
_space_group_name_H-M_alt 'P 1 2/m 1'
_space_group_IT_number 10
loop_
_space_group_symop_operation_xyz
'x,y,z'
'-x,-y,-z'
'-x,y,-z'
'x,-y,z'
loop_
_atom_site_label
_atom_site_type_symbol
_atom_site_fract_x
_atom_site_fract_y
_atom_site_fract_z
Tb1 Tb 0.0000 0.0000 0.0000
Tb2 Tb 0.5000 0.5000 0.5000
Pm1 Pm 0.0000 0.0000 0.5000
Tm1 Tm 0.0000 0.5000 0.2465
Tm2 Tm 0.5002 0.0000 0.2463
Th1 Th 0.5000 0.5000 0.0000
# crystal system	monoclinic

---

Entry 2:
# Tb2Pm4TmTh, relaxed, DFT GGA-PBE
data_Tb2Pm4TmTh
_cell_length_a 6.0222
_cell_length_b 6.0245
_cell_length_c 7.2822
_cell_angle_alpha 90.00
_cell_angle_beta 90.07
_cell_angle_gamma 90.00
_space_group_name_H-M_alt 'P 1 2/m 1'
_space_group_IT_number 10
loop_
_space_group_symop_operation_xyz
'x,y,z'
'-x,-y,-z'
'-x,y,-z'
'x,-y,z'
loop_
_atom_site_label
_atom_site_type_symbol
_atom_site_fract_x
_atom_site_fract_y
_atom_site_fract_z
Tb1 Tb 0.0000 0.0000 0.0000
Tb2 Tb 0.5000 0.5000 0.5000
Pm1 Pm 0.0002 0.5000 0.2484
Pm2 Pm 0.4992 0.0000 0.2477
Tm1 Tm 0.0000 0.0000 0.5000
Th1 Th 0.5000 0.5000 0.0000
# crystal system	monoclinic

---

Entry 3:
# Tb6PmTmTh2, relaxed, DFT GGA-PBE
data_Tb6PmTmTh2
_cell_length_a 8.9682
_cell_length_b 14.8606
_cell_length_c 10.0009
_cell_angle_alpha 90.00
_cell_angle_beta 101.34
_cell_angle_gamma 90.00
_space_group_name_H-M_alt 'C 1 2/c 1'
_space_group_IT_number 15
loop_
_space_group_symop_operation_xyz
'x,y,z'
'-x,-y,-z'
'-x,y,-z+1/2'
'x,-y,z+1/2'
'x+1/2,y+1/2,z'
'-x+1/2,-y+1/2,-z'
'-x+1/2,y+1/2,-z+1/2'
'x+1/2,-y+1/2,z+1/2'
loop_
_atom_site_label
_atom_site_type_symbol
_atom_site_fract_x
_atom_site_fract_y
_atom_site_fract_z
Tb1 Tb 0.0761 0.1874 0.4491
Tb2 Tb 0.0904 0.3981 0.6158
Tb3 Tb 0.2070 0.2259 0.8208
Pm1 Pm 0.0000 0.0099 0.7500
Tm1 Tm 0.0000 0.4055 0.2500
Th1 Th 0.2305 0.0479 0.0416
# crystal system	monoclinic

---

Entry 4:
# TbPmTmTh, relaxed, DFT GGA-PBE
data_TbPmTmTh
_cell_length_a 3.5908
_cell_length_b 3.5908
_cell_length_c 34.5317
_cell_angle_alpha 90.00
_cell_angle_beta 90.00
_cell_angle_gamma 120.00
_space_group_name_H-M_alt 'R 3 m'
_space_group_IT_number 160
_space_group_name_Hall 'R 3 -2"'
loop_
_atom_site_label
_atom_site_type_symbol
_atom_site_fract_x
_atom_site_fract_y
_atom_site_fract_z
Tb1 Tb 0.0000 0.0000 0.0000
Pm1 Pm 0.0000 0.0000 0.7528
Tm1 Tm 0.0000 0.0000 0.1711
Th1 Th 0.0000 0.0000 0.5853
# crystal system	trigonal

---

So what do the calculations give for ΔH_f (0 K)? Going down the list: 0.028; 0.140; 0.149; 0.013 eV per atom.